{
  "formula": "BaCr2BO8",
  "functional": "PBE+U",
  "state": "relaxed",
  "lattice": [[4.820, 0.000, 0.000], [2.410, 4.174, 0.000], [2.410, 1.391, 7.704]],
  "species": ["Ba", "Cr", "Cr", "B", "O", "O", "O", "O", "O", "O", "O", "O"],
  "fractional_positions": [[0.500, 0.500, 0.500], [0.269, 0.269, 0.193], [0.731, 0.731, 0.807], [0.000, 0.000, 0.000], [0.195, 0.195, 0.414], [0.656, 0.225, 0.130], [0.805, 0.805, 0.586], [0.989, 0.656, 0.130], [0.011, 0.344, 0.870], [0.225, 0.989, 0.130], [0.775, 0.011, 0.870], [0.344, 0.775, 0.870]],
  "space_group": "R-3",
  "total_magnetization_mub_per_cell": 1.00,
  "total_energy_ev_per_cell": -80.561
}